Compound: TiSiRh5
Source: Alexandria
Functional: PBE
Structure: optimized geometry

Energy above the lowest structure with this stoichiometry, meV/atom: 119.2
Raw formation energy, meV/atom: -474

a = 12.001 Å, b = 6.457 Å, c = 5.481 Å
α = 90.00°, β = 106.03°, γ = 90.00°
Space group C2/c (No. 15)
Inequivalent atoms, fractional coordinates:
Ti 0.000 0.206 0.250
Si 0.250 0.250 0.000
Rh 0.000 0.198 0.750
Rh 0.115 0.494 0.560
Rh 0.175 0.062 0.583

---

Compound: Ti3SiRh
Source: Alexandria
Functional: PBE
Structure: optimized geometry

Raw formation energy, meV/atom: 362

a = 4.538 Å, b = 4.538 Å, c = 4.538 Å
α = 90.00°, β = 90.00°, γ = 90.00°
Space group Pm-3m (No. 221)
Inequivalent atoms, fractional coordinates:
Ti 0.000 0.000 0.500
Si 0.000 0.000 0.000
Rh 0.500 0.500 0.500

---

Compound: TiSiRh
Source: Alexandria
Functional: PBE
Structure: optimized geometry

Raw formation energy, meV/atom: -964

a = 6.483 Å, b = 3.624 Å, c = 11.125 Å
α = 90.00°, β = 90.80°, γ = 90.00°
Space group P2_1/m (No. 11)
Inequivalent atoms, fractional coordinates:
Ti 0.017 0.250 0.209
Ti 0.350 0.750 0.579
Ti 0.468 0.750 0.886
Si 0.238 0.250 0.418
Si 0.238 0.750 0.086
Si 0.277 0.250 0.751
Rh 0.018 0.250 0.597
Rh 0.150 0.250 0.956
Rh 0.360 0.750 0.294